Entry 1:
First-principles (GGA-PBE) data for a relaxed structure of MgAg2PdO, as listed in Alexandria via LeMat-Bulk.

abc: 4.8826 4.6008 4.8826
angles: 90.00 90.00 90.00
With the nearest neighbours (Å) after each atom.
Positions (direct):
O 0.5000 0.5000 0.5000  8 Ag 3.35, 4 Pd 3.45
Mg 0.0000 0.0000 0.0000  2 Pd 2.30, 4 Ag 2.44
Pd 0.0000 0.5000 0.0000  2 Mg 2.30
Ag 0.0000 0.0000 0.5000  2 Mg 2.44
Ag 0.5000 0.0000 0.0000  2 Mg 2.44

Properties
E_tot = -12.43 eV/f.u.
Uncorrected formation energy = 1.0028 eV/atom
Symmetry = P4/mmm
V = 109.7 Å³ per cell

Entry 2:
First-principles (GGA-PBE) data for a relaxed structure of InMo, as listed in Alexandria via LeMat-Bulk.

abc: 3.1558 3.1558 9.2967
angles: 90.00 90.00 120.00
With the nearest neighbours (Å) after each atom.
Positions (direct):
In 0.0000 0.0000 0.9789  3 Mo 3.02, 9 In 3.16-3.27
In 0.6667 0.3333 0.2711  3 Mo 3.02, 9 In 3.16-3.27
Mo 0.0000 0.0000 0.5298  3 Mo 2.54
Mo 0.6667 0.3333 0.7202  3 Mo 2.54

Properties
E_tot = -12.93 eV/f.u.
E_form = 0.317 eV/atom
Symmetry = P-3m1
Energy above the most stable polymorph in this dataset = 103 meV/atom
V = 80.2 Å³ per cell

Entry 3:
First-principles (GGA-PBE) data for a relaxed structure of Re2OsSe, as listed in Alexandria via LeMat-Bulk.

abc: 8.6552 8.6552 8.6552
angles: 19.00 19.00 19.00
With the nearest neighbours (Å) after each atom.
Positions (direct):
Os 0.7500 0.7500 0.7500  6 Re 2.71, 6 Os 2.86
Re 0.9989 0.9989 0.9989  3 Se 2.67, 3 Os 2.71, 6 Re 2.86
Re 0.5011 0.5011 0.5011  3 Se 2.67, 3 Os 2.71, 6 Re 2.86
Se 0.2500 0.2500 0.2500  6 Re 2.67, 6 Se 2.86

Properties
E_tot = -38.14 eV/f.u.
Uncorrected formation energy = 0.3685 eV/atom
Symmetry = R-3m
V = 60.1 Å³ per cell

Entry 4:
First-principles (GGA-PBE) data for a relaxed structure of Th3Ni4Hg, as listed in Alexandria via LeMat-Bulk.

abc: 3.7572 6.2255 8.1571
angles: 112.53 103.31 90.00
With the nearest neighbours (Å) after each atom.
Positions (direct):
Th 0.0000 0.5000 0.0000  8 Ni 2.91
Th 0.1936 0.1938 0.3872  6 Ni 2.84-2.87
Th 0.8064 0.8062 0.6128  6 Ni 2.84-2.87
Ni 0.3717 0.5642 0.7433  1 Ni 2.41, 1 Hg 2.68
Ni 0.6283 0.4358 0.2567  1 Ni 2.41, 1 Hg 2.68
Ni 0.6284 0.8223 0.2568  1 Ni 2.41, 1 Hg 2.68
Ni 0.3716 0.1777 0.7432  1 Ni 2.41, 1 Hg 2.68
Hg 0.5000 0.0000 0.0000  4 Ni 2.68

Properties
E_tot = -48.14 eV/f.u.
E_form = -0.307 eV/atom
Symmetry = C2/m
V = 170.7 Å³ per cell

Entry 5:
First-principles (GGA-PBE) data for a relaxed structure of KCdGeSe3, as listed in Alexandria via LeMat-Bulk.

abc: 4.5444 8.4341 9.7980
angles: 109.61 90.00 90.00
With the nearest neighbours (Å) after each atom.
Positions (direct):
K 0.2500 0.2379 0.2423  5 Se 3.33-3.54
K 0.7500 0.7621 0.7577  5 Se 3.33-3.54
Cd 0.2500 0.6538 0.1018  3 Se 2.71-2.89
Cd 0.7500 0.3462 0.8982  3 Se 2.71-2.89
Ge 0.2500 0.1332 0.6312  4 Se 2.40-2.68
Ge 0.7500 0.8668 0.3688  4 Se 2.40-2.68
Se 0.7500 0.9139 0.1409  1 Ge 2.40
Se 0.2500 0.0861 0.8591  1 Ge 2.40
Se 0.2500 0.8109 0.4566  3 Ge 2.53-2.68
Se 0.7500 0.1891 0.5434  3 Ge 2.53-2.68
Se 0.7500 0.5001 0.1895  3 Cd 2.71-2.89, 1 Ge 3.00
Se 0.2500 0.4999 0.8105  3 Cd 2.71-2.89, 1 Ge 3.00

Properties
E_tot = -20.45 eV/f.u.
Uncorrected formation energy = -0.5610 eV/atom
Symmetry = P2_1/m
V = 353.8 Å³ per cell

Entry 6:
First-principles (GGA-PBE) data for a relaxed structure of Te2MoRu, as listed in Alexandria via LeMat-Bulk.

abc: 10.5412 10.5412 10.5412
angles: 17.48 17.48 17.48
With the nearest neighbours (Å) after each atom.
Positions (direct):
Mo 0.4922 0.4922 0.4922  3 Te 2.71, 3 Ru 2.81
Ru 0.7575 0.7575 0.7575  3 Te 2.70, 3 Mo 2.81
Te 0.0278 0.0278 0.0278  3 Ru 2.70
Te 0.2225 0.2225 0.2225  3 Mo 2.71

Properties
E_tot = -25.36 eV/f.u.
Uncorrected formation energy = 0.2585 eV/atom
Symmetry = R3m
Energy above the most stable polymorph in this dataset = 221 meV/atom
V = 92.2 Å³ per cell